Record 1
Material: BaSrSmSeO6
Method: DFT, PBE
State: relaxed

Cell and atoms, written as CIF:
```
data_BaSrSmSeO6
_chemical_formula_sum 'Ba2 Sr2 Sm2 Se2 O12'
_space_group_name_H-M_alt 'P 1'
_space_group_IT_number 1
_cell_length_a 5.975
_cell_length_b 5.949
_cell_length_c 8.445
_cell_angle_alpha 89.82
_cell_angle_beta 89.31
_cell_angle_gamma 89.92
loop_
_space_group_symop_operation_xyz
'x,y,z'
loop_
_atom_site_label
_atom_site_fract_x
_atom_site_fract_y
_atom_site_fract_z
O1 0.802 0.222 0.013
O2 0.960 0.539 0.240
O3 0.285 0.225 0.467
Ba1 0.991 0.998 0.754
O4 0.713 0.689 0.967
O5 0.287 0.311 0.033
O6 0.040 0.461 0.760
Se1 0.000 0.500 0.000
Se2 0.500 0.000 0.500
O7 0.278 0.780 0.516
O8 0.198 0.778 0.987
O9 0.518 0.950 0.282
O10 0.722 0.220 0.484
Sm1 0.500 0.000 0.000
Sr1 0.528 0.497 0.238
Sm2 0.000 0.500 0.500
O11 0.482 0.050 0.718
O12 0.715 0.775 0.533
Ba2 0.009 0.002 0.246
Sr2 0.472 0.503 0.762
```

Output
**E_form (uncorrected)**: -2.213 eV per atom
**Theoretical density**: 6.09 g/cm³
**Distance to the lowest polymorph of the same formula**: 0.0000 eV per atom

***

Record 2
Material: BaSrSmSeO6
Method: DFT, PBE
State: relaxed

Cell and atoms, written as CIF:
```
data_BaSrSmSeO6
_chemical_formula_sum 'Ba1 Sr1 Sm1 Se1 O6'
_space_group_name_H-M_alt 'P 1'
_space_group_IT_number 1
_cell_length_a 5.970
_cell_length_b 5.970
_cell_length_c 5.970
_cell_angle_alpha 60.00
_cell_angle_beta 60.00
_cell_angle_gamma 60.00
loop_
_space_group_symop_operation_xyz
'x,y,z'
loop_
_atom_site_label
_atom_site_fract_x
_atom_site_fract_y
_atom_site_fract_z
O1 0.232 0.768 0.768
Sr1 0.750 0.750 0.750
Sm1 0.500 0.500 0.500
O2 0.768 0.768 0.232
O3 0.232 0.232 0.768
O4 0.232 0.768 0.232
O5 0.768 0.232 0.232
O6 0.768 0.232 0.768
Ba1 0.250 0.250 0.250
Se1 0.000 0.000 0.000
```

Output
**E_form (uncorrected)**: -2.194 eV per atom
**Theoretical density**: 6.07 g/cm³
**Distance to the lowest polymorph of the same formula**: 0.0189 eV per atom

***

Record 3
Material: BaSnSeO
Method: DFT, PBE
State: relaxed

Cell and atoms, written as CIF:
```
data_BaSnSeO
_chemical_formula_sum 'Ba1 Sn1 Se1 O1'
_space_group_name_H-M_alt 'P 1'
_space_group_IT_number 1
_cell_length_a 3.998
_cell_length_b 6.122
_cell_length_c 5.348
_cell_angle_alpha 81.07
_cell_angle_beta 90.00
_cell_angle_gamma 109.06
loop_
_space_group_symop_operation_xyz
'x,y,z'
loop_
_atom_site_label
_atom_site_fract_x
_atom_site_fract_y
_atom_site_fract_z
O1 0.292 0.584 0.924
Sn1 0.204 0.408 0.282
Ba1 0.923 0.847 0.788
Se1 0.535 0.069 0.244
```

Output
**E_form (uncorrected)**: -1.494 eV per atom
**Theoretical density**: 4.78 g/cm³

***

Record 4
Material: Ba2SrSeO6
Method: DFT, PBE
State: relaxed

Cell and atoms, written as CIF:
```
data_Ba2SrSeO6
_chemical_formula_sum 'Ba2 Sr1 Se1 O6'
_space_group_name_H-M_alt 'P 1'
_space_group_IT_number 1
_cell_length_a 5.998
_cell_length_b 5.998
_cell_length_c 5.998
_cell_angle_alpha 60.00
_cell_angle_beta 60.00
_cell_angle_gamma 60.00
loop_
_space_group_symop_operation_xyz
'x,y,z'
loop_
_atom_site_label
_atom_site_fract_x
_atom_site_fract_y
_atom_site_fract_z
O1 0.283 0.717 0.282
O2 0.283 0.718 0.717
Ba1 0.250 0.250 0.250
O3 0.717 0.282 0.283
O4 0.282 0.283 0.717
Sr1 0.000 0.000 0.000
Se1 0.500 0.500 0.500
O5 0.718 0.717 0.283
O6 0.717 0.283 0.718
Ba2 0.750 0.750 0.750
```

Output
**E_form (uncorrected)**: -2.079 eV per atom
**Theoretical density**: 5.85 g/cm³

***

Record 5
Material: BaSrTbSeO6
Method: DFT, PBE
State: relaxed

Cell and atoms, written as CIF:
```
data_BaSrTbSeO6
_chemical_formula_sum 'Ba1 Sr1 Tb1 Se1 O6'
_space_group_name_H-M_alt 'P 1'
_space_group_IT_number 1
_cell_length_a 5.915
_cell_length_b 5.915
_cell_length_c 5.915
_cell_angle_alpha 60.00
_cell_angle_beta 60.00
_cell_angle_gamma 60.00
loop_
_space_group_symop_operation_xyz
'x,y,z'
loop_
_atom_site_label
_atom_site_fract_x
_atom_site_fract_y
_atom_site_fract_z
O1 0.766 0.234 0.766
O2 0.234 0.766 0.234
O3 0.766 0.234 0.234
Ba1 0.250 0.250 0.250
O4 0.234 0.766 0.766
Se1 0.000 0.000 0.000
O5 0.234 0.234 0.766
Tb1 0.500 0.500 0.500
Sr1 0.750 0.750 0.750
O6 0.766 0.766 0.234
```

Output
**E_form (uncorrected)**: -2.241 eV per atom
**Theoretical density**: 6.34 g/cm³

***

Record 6
Material: Ba3Ta2Se2O5
Method: DFT, PBE
State: relaxed

Cell and atoms, written as CIF:
```
data_Ba3Ta2Se2O5
_chemical_formula_sum 'Ba3 Ta2 Se2 O5'
_space_group_name_H-M_alt 'P 1'
_space_group_IT_number 1
_cell_length_a 4.258
_cell_length_b 4.258
_cell_length_c 12.693
_cell_angle_alpha 99.66
_cell_angle_beta 99.66
_cell_angle_gamma 90.00
loop_
_space_group_symop_operation_xyz
'x,y,z'
loop_
_atom_site_label
_atom_site_fract_x
_atom_site_fract_y
_atom_site_fract_z
Ba1 0.167 0.167 0.334
O1 0.581 0.081 0.163
O2 0.419 0.919 0.837
Ta1 0.582 0.582 0.163
Ta2 0.418 0.418 0.837
Se1 0.693 0.693 0.385
Se2 0.307 0.307 0.615
Ba2 0.833 0.833 0.666
Ba3 0.000 0.000 0.000
O3 0.081 0.581 0.163
O4 0.500 0.500 0.000
O5 0.919 0.419 0.837
```

Output
**E_form (uncorrected)**: -2.393 eV per atom
**Theoretical density**: 7.51 g/cm³